Compound: Mg2TlAs
Source: Alexandria via LeMat-Bulk
Functional: GGA-PBEsol
Structure: optimized geometry

Computed properties:
calculated formation energy: -0.20 eV/atom
M_tot: 0.00 μB/cell
crystal system: monoclinic
SG: No. 10
D(E_F): 0.3879 states/eV/atom

Cell lengths 3.4347, 3.6999, 6.7079 Å; angles 90.00, 89.72, 90.00 degrees
Closest atoms and distances in Å follow each position.
Element x y z (fractional)
Tl (0.5000, 0.5000, 0.0000)  8 Mg 3.14-3.15, 2 As 3.35, 2 Tl 3.43
Mg (0.0003, 0.0000, 0.7194)  4 As 2.92-2.93, 1 Mg 2.94, 4 Tl 3.14-3.15
As (0.5000, 0.5000, 0.5000)  8 Mg 2.92-2.93
Mg (0.9997, 0.0000, 0.2806)  4 As 2.92-2.93, 1 Mg 2.94, 4 Tl 3.14-3.15